LiAc2Zn3Cd4 GGA-PBE optimized geometry; space group = P-4m2 (115); ΔE_f = -0.24 eV per atom
1.0
4.713 0.000 0.000
0.000 4.713 0.000
0.000 0.000 10.936
Li Ac Zn Cd
1 2 3 4
direct
0.000 0.000 0.000
0.000 0.500 0.751
0.500 0.000 0.249
0.000 0.500 0.362
0.500 0.000 0.638
0.500 0.500 0.000
0.000 0.000 0.500
0.000 0.500 0.121
0.500 0.000 0.879
0.500 0.500 0.500